Here is Ac3SnH3 after structural relaxation from Alexandria. Energies are from PBE.

Cell and atoms, written as POSCAR:
```
Ac3SnH3
1.0
9.076 0.000 0.000
-4.538 7.860 0.000
0.000 0.000 4.742
Ac Sn H
6 2 6
Cartesian
-2.580 5.620 1.185 Ac
0.961 2.815 1.185 Ac
2.919 0.575 3.556 Ac
1.619 7.285 1.185 Ac
3.577 5.045 3.556 Ac
7.118 2.240 3.556 Ac
0.000 5.240 3.556 Sn
4.538 2.620 1.185 Sn
-3.272 6.364 3.556 H
0.662 1.844 3.556 H
1.928 0.348 1.185 H
2.610 7.512 3.556 H
3.876 6.016 1.185 H
7.810 1.496 1.185 H
```

total magnetization	2.0	μB/cell
Fermi-level density of states	0.729	states/eV/atom



Here is Ac12Sn6H after structural relaxation from Alexandria. Energies are from PBE.

Cell and atoms, written as POSCAR:
```
Ac12Sn6H
1.0
7.154 4.131 4.360
-7.154 4.131 4.360
0.000 -8.261 4.360
Ac Sn H
12 6 1
Cartesian
-4.821 -4.791 7.143 Ac
-6.560 1.779 5.936 Ac
-1.695 -2.063 5.085 Ac
1.739 -6.570 5.936 Ac
-0.939 2.500 5.085 Ac
-2.634 0.437 7.995 Ac
2.634 -0.437 5.085 Ac
0.939 -2.500 7.995 Ac
-1.739 6.570 7.143 Ac
1.695 2.063 7.995 Ac
6.560 -1.779 7.143 Ac
4.821 4.791 5.936 Ac
-3.711 0.671 4.636 Sn
1.274 -3.550 4.636 Sn
-2.437 -2.878 8.444 Sn
2.437 2.878 4.635 Sn
-1.274 3.550 8.444 Sn
3.711 -0.671 8.444 Sn
0.000 0.000 0.000 H
```

total magnetization	2.2	μB/cell
Fermi-level density of states	1.115	states/eV/atom



Here is Ac5Sn2H after structural relaxation from Alexandria. Energies are from PBE.

Cell and atoms, written as POSCAR:
```
Ac5Sn2H
1.0
0.000 5.447 4.791
5.437 0.000 4.791
5.437 5.447 0.000
Ac Sn H
5 2 1
Cartesian
0.000 0.000 0.000 Ac
5.437 2.709 7.141 Ac
8.170 5.447 7.141 Ac
2.704 5.447 7.141 Ac
5.437 8.186 7.141 Ac
2.719 2.724 4.759 Sn
8.156 8.171 9.550 Sn
5.437 5.447 2.516 H
```

total magnetization	0.0	μB/cell
Fermi-level density of states	1.021	states/eV/atom



Here is Ac7Sn2H2 after structural relaxation from Alexandria. Energies are from PBE.

Cell and atoms, written as POSCAR:
```
Ac7Sn2H2
1.0
4.223 -6.648 0.000
4.223 6.648 0.000
-0.634 0.000 6.616
Ac Sn H
7 2 2
Cartesian
0.000 0.000 0.000 Ac
2.654 2.600 1.654 Ac
2.507 0.000 4.825 Ac
5.157 2.600 4.961 Ac
2.654 -2.600 1.654 Ac
5.305 0.000 1.790 Ac
5.157 -2.600 4.961 Ac
3.906 5.207 3.308 Sn
3.906 -5.207 3.308 Sn
2.700 0.000 0.819 H
5.111 0.000 5.796 H
```

total magnetization	0.0	μB/cell
Fermi-level density of states	1.162	states/eV/atom



Here is Ac5Sn2H2 after structural relaxation from Alexandria. Energies are from PBE.

Cell and atoms, written as POSCAR:
```
Ac5Sn2H2
1.0
6.666 -2.906 0.000
6.666 2.906 0.000
-1.743 0.000 7.128
Ac Sn H
5 2 2
Cartesian
0.000 0.000 0.000 Ac
0.977 0.000 3.838 Ac
4.203 0.000 0.923 Ac
7.385 0.000 6.205 Ac
10.611 0.000 3.289 Ac
4.178 0.000 5.006 Sn
7.410 0.000 2.122 Sn
0.640 0.000 6.302 H
10.949 0.000 0.826 H
```

total magnetization	0.0	μB/cell
Fermi-level density of states	0.684	states/eV/atom



Here is Ac4Sn2H3 after structural relaxation from Alexandria. Energies are from PBE.

Cell and atoms, written as POSCAR:
```
Ac4Sn2H3
1.0
3.657 -7.284 0.000
3.657 7.284 0.000
0.000 0.000 9.219
Ac Sn H
8 4 6
Cartesian
1.828 0.846 6.914 Ac
3.657 4.457 8.139 Ac
3.657 2.827 3.529 Ac
1.828 -0.846 2.305 Ac
5.485 0.846 6.914 Ac
3.657 -2.827 5.690 Ac
3.657 -4.457 1.080 Ac
5.485 -0.846 2.305 Ac
3.657 5.800 5.122 Sn
3.657 1.484 0.513 Sn
3.657 -1.484 8.706 Sn
3.657 -5.800 4.097 Sn
0.000 0.000 0.000 H
1.828 3.302 6.914 H
1.828 -3.302 2.305 H
3.657 0.000 4.609 H
5.485 3.302 6.914 H
5.485 -3.302 2.305 H
```

total magnetization	1.0	μB/cell
Fermi-level density of states	0.671	states/eV/atom



Values of E_tot, in order: -59.8 -83.3 -34.3 -46.9 -38.9 -77.3, all in eV for the cell shown.